[1]
Compound: Mn2CrRh2
Source: Alexandria via LeMat-Bulk
Functional: GGA-PBE
Structure: relaxed

a b c (Å): 7.092 7.092 2.613
angles (deg): 90.00 90.00 90.00
Fractional positions:
Rh1 0.129 0.371 0.000
Rh2 0.871 0.629 0.000
Rh3 0.371 0.871 0.000
Rh4 0.629 0.129 0.000
Mn1 0.670 0.830 0.500
Mn2 0.170 0.670 0.500
Mn3 0.830 0.330 0.500
Mn4 0.330 0.170 0.500
Cr1 0.000 0.000 0.000
Cr2 0.500 0.500 0.000

Calculated values
Fermi-level density of states: 5.2 states/eV/f.u.
Crystal system: tetragonal
Symmetry: P4/mbm (127)
Total energy: -8.215 eV per atom
Magnetization: 1.9 μB per formula unit
E above lowest polymorph: 75 meV per atom
Energy relative to the elements: 0.318 eV/atom

[2]
Compound: Tm3Si2Ru
Source: Alexandria via LeMat-Bulk
Functional: GGA-PBE
Structure: relaxed

a b c (Å): 4.121 11.042 11.379
angles (deg): 90.00 90.00 90.00
Fractional positions:
Si1 0.250 0.813 0.983
Si2 0.250 0.494 0.806
Si3 0.750 0.506 0.194
Si4 0.250 0.006 0.306
Si5 0.750 0.994 0.694
Si6 0.750 0.187 0.017
Si7 0.750 0.313 0.517
Si8 0.250 0.687 0.483
Ru1 0.750 0.862 0.872
Ru2 0.250 0.362 0.628
Ru3 0.250 0.138 0.128
Ru4 0.750 0.638 0.372
Tm1 0.250 0.444 0.377
Tm2 0.750 0.556 0.623
Tm3 0.750 0.944 0.123
Tm4 0.250 0.702 0.216
Tm5 0.750 0.202 0.284
Tm6 0.250 0.798 0.716
Tm7 0.250 0.056 0.877
Tm8 0.250 0.121 0.557
Tm9 0.750 0.879 0.443
Tm10 0.750 0.298 0.784
Tm11 0.750 0.621 0.943
Tm12 0.250 0.379 0.057

Calculated values
Fermi-level density of states: 3.9 states/eV/f.u.
Crystal system: orthorhombic
Symmetry: Pnma (62)
Total energy: -6.291 eV per atom
Uncorrected formation energy: -4.2 eV/f.u.
Magnetization: 0.0 μB per formula unit

[3]
Compound: TaFeSe3
Source: Alexandria via LeMat-Bulk
Functional: GGA-PBE
Structure: relaxed

a b c (Å): 5.028 5.028 5.028
angles (deg): 90.00 90.00 90.00
Fractional positions:
Fe1 0.500 0.500 0.500
Se1 0.500 0.000 0.000
Se2 0.000 0.000 0.500
Se3 0.000 0.500 0.000
Ta1 0.000 0.000 0.000

Calculated values
Fermi-level density of states: 5.8 states/eV/f.u.
Crystal system: cubic
Symmetry: Pm-3m (221)
Total energy: -5.772 eV per atom
Uncorrected formation energy: 1.9 eV/f.u.
Magnetization: 4.2 μB per formula unit

[4]
Compound: LaEuCuRu
Source: Alexandria via LeMat-Bulk
Functional: GGA-PBE
Structure: relaxed

a b c (Å): 5.046 5.046 5.046
angles (deg): 60.00 60.00 60.00
Fractional positions:
Eu1 0.750 0.750 0.750
Cu1 0.000 0.000 0.000
Ru1 0.500 0.500 0.500
La1 0.250 0.250 0.250

Calculated values
Fermi-level density of states: 11.0 states/eV/f.u.
Crystal system: cubic
Symmetry: F-43m (216)
Total energy: -7.192 eV per atom
Magnetization: 6.8 μB per formula unit
Energy relative to the elements: -0.049 eV/atom

[5]
Compound: Nb3Fe
Source: Alexandria via LeMat-Bulk
Functional: GGA-PBE
Structure: relaxed

a b c (Å): 4.508 4.508 4.508
angles (deg): 60.00 60.00 60.00
Fractional positions:
Nb1 0.250 0.250 0.250
Nb2 0.750 0.750 0.750
Nb3 0.500 0.500 0.500
Fe1 0.000 0.000 0.000

Calculated values
Fermi-level density of states: 2.9 states/eV/f.u.
Crystal system: cubic
Symmetry: Fm-3m (225)
Total energy: -9.663 eV per atom
Magnetization: 0.0 μB per formula unit
Energy relative to the elements: 0.005 eV/atom

[6]
Compound: La11Er9Tm4
Source: Alexandria via LeMat-Bulk
Functional: GGA-PBE
Structure: relaxed

a b c (Å): 3.683 15.507 15.507
angles (deg): 113.08 90.00 90.00
Fractional positions:
Er1 0.500 0.786 0.930
Er2 0.500 0.070 0.214
Er3 0.500 0.631 0.167
Er4 0.500 0.167 0.631
Er5 0.500 0.833 0.369
Er6 0.500 0.369 0.833
Er7 0.500 0.500 0.500
Er8 0.500 0.214 0.070
Er9 0.500 0.930 0.786
La1 0.000 0.706 0.706
La2 0.000 0.294 0.294
La3 0.000 0.840 0.160
La4 0.000 0.160 0.840
La5 0.000 0.958 0.596
La6 0.000 0.404 0.042
La7 0.000 0.631 0.369
La8 0.000 0.000 0.000
La9 0.000 0.369 0.631
La10 0.000 0.042 0.404
La11 0.000 0.596 0.958
Tm1 0.500 0.555 0.759
Tm2 0.500 0.445 0.241
Tm3 0.500 0.759 0.555
Tm4 0.500 0.241 0.445

Calculated values
Fermi-level density of states: 33.9 states/eV/f.u.
Crystal system: orthorhombic
Symmetry: Cmmm (65)
Total energy: -4.645 eV per atom
Magnetization: 0.0 μB per formula unit
Energy relative to the elements: 0.070 eV/atom

Among the records above, which one has the highest magnetization? LaEuCuRu